An optimized crystal structure of BiSbS3. Source: Alexandria via LeMat-Bulk, functional PBEsol.

## Properties
- Space group: Pm-3m (221)
- Final energy: -20.91 eV per cell
- E above lowest polymorph: 2.78 eV per formula unit
- Formation energy (no corrections): 0.2170 eV/atom

The structure in CIF format:
```
data_BiSbS3
_cell_length_a 4.9367
_cell_length_b 4.9367
_cell_length_c 4.9367
_cell_angle_alpha 90.00
_cell_angle_beta 90.00
_cell_angle_gamma 90.00
_symmetry_space_group_name_H-M 'P 1'
_symmetry_Int_Tables_number 1
loop_
_symmetry_equiv_pos_as_xyz
'x,y,z'
loop_
_atom_site_label
_atom_site_type_symbol
_atom_site_fract_x
_atom_site_fract_y
_atom_site_fract_z
Sb1 Sb 0.0000 0.0000 0.0000
S1 S 0.0000 0.5000 0.0000
S2 S 0.0000 0.0000 0.5000
S3 S 0.5000 0.0000 0.0000
Bi1 Bi 0.5000 0.5000 0.5000
```